(1)
A plane-wave DFT calculation with PBEsol was carried out for an optimized crystal structure of InHO2.

Cell: 3.3143 3.3143 13.6470 Å, 90.00 90.00 120.00°
Space group R-3m (No. 166, hexagonal axes)
Inequivalent atoms, fractional coordinates:
In 0.0000 0.0000 0.0000 [3 per cell]
H 0.0000 0.0000 0.5000 [3 per cell]
O 0.0000 0.0000 0.4112 [6 per cell]

final energy = -5.6116 eV/atom


(2)
A plane-wave DFT calculation with PBEsol was carried out for an optimized crystal structure of RbEu3F10.

Cell: 11.803 11.803 11.803 Å, 90.00 90.00 90.00°
Space group Fm-3m (No. 225)
Inequivalent atoms, fractional coordinates:
Rb 0.250 0.250 0.250 [8 per cell]
Eu 0.000 0.000 0.239 [24 per cell]
F 0.000 0.166 0.334 [48 per cell]
F 0.112 0.112 0.112 [32 per cell]

final energy = -7.2299 eV/atom
raw formation energy = -49.2 eV/f.u.


(3)
A plane-wave DFT calculation with PBEsol was carried out for an optimized crystal structure of Sm2Ge5Ir3.

Cell: 10.166 11.766 5.997 Å, 90.00 90.00 90.00°
Space group Ibam (No. 72)
Inequivalent atoms, fractional coordinates:
Sm 0.228 0.133 0.000 [8 per cell]
Ge 0.000 0.000 0.250 [4 per cell]
Ge 0.000 0.276 0.250 [8 per cell]
Ge 0.161 0.401 0.000 [8 per cell]
Ir 0.000 0.500 0.250 [4 per cell]
Ir 0.110 0.142 0.500 [8 per cell]

energy relative to the elements = -784.6 meV/atom
final energy = -7.2196 eV/atom


(4)
A plane-wave DFT calculation with PBEsol was carried out for an optimized crystal structure of Mg5Cu.

Cell: 5.2886 5.2886 4.8171 Å, 90.00 90.00 120.00°
Space group P-62m (No. 189)
Inequivalent atoms, fractional coordinates:
Mg 0.0000 0.3158 0.0000 [3 per cell]
Mg 0.3333 0.6667 0.5000 [2 per cell]
Cu 0.0000 0.0000 0.5000 [1 per cell]

distance to the lowest polymorph of the same formula = 0.0412 eV/atom
energy relative to the elements = 34.2 meV/atom
final energy = -2.1191 eV/atom


(5)
A plane-wave DFT calculation with PBEsol was carried out for an optimized crystal structure of Al3NiN.

Cell: 3.881 3.881 3.881 Å, 90.00 90.00 90.00°
Space group Pm-3m (No. 221)
Inequivalent atoms, fractional coordinates:
Al 0.000 0.000 0.500 [3 per cell]
Ni 0.500 0.500 0.500 [1 per cell]
N 0.000 0.000 0.000 [1 per cell]

final energy = -5.6647 eV/atom
raw formation energy = -1.4 eV/f.u.


(6)
A plane-wave DFT calculation with PBEsol was carried out for an optimized crystal structure of Cs2IBr.

Cell: 8.779 8.779 8.779 Å, 90.00 90.00 90.00°
Space group Fm-3m (No. 225)
Inequivalent atoms, fractional coordinates:
Cs 0.250 0.250 0.250 [8 per cell]
I 0.000 0.000 0.000 [4 per cell]
Br 0.000 0.000 0.500 [4 per cell]

distance to the lowest polymorph of the same formula = 0.0000 eV/atom
final energy = -3.0142 eV/atom
raw formation energy = -6.5 eV/f.u.


(7)
A plane-wave DFT calculation with PBEsol was carried out for an optimized crystal structure of ReNi2Pt.

Cell: 3.620 3.620 7.627 Å, 90.00 90.00 90.00°
Space group I-4m2 (No. 119)
Inequivalent atoms, fractional coordinates:
Re 0.000 0.000 0.000 [2 per cell]
Ni 0.000 0.000 0.500 [2 per cell]
Ni 0.000 0.500 0.750 [2 per cell]
Pt 0.000 0.500 0.250 [2 per cell]

distance to the lowest polymorph of the same formula = 0.0086 eV/atom
energy relative to the elements = -65.2 meV/atom
final energy = -8.2178 eV/atom


(8)
A plane-wave DFT calculation with PBEsol was carried out for an optimized crystal structure of PtAuSe.

Cell: 3.5593 3.5593 5.0620 Å, 90.00 90.00 120.00°
Space group P3m1 (No. 156)
Inequivalent atoms, fractional coordinates:
Pt 0.0000 0.0000 0.0000 [1 per cell]
Au 0.3333 0.6667 0.3374 [1 per cell]
Se 0.6667 0.3333 0.7238 [1 per cell]

final energy = -4.8605 eV/atom
raw formation energy = 0.2 eV/f.u.


Question: Among the records above, which one has the lowest final energy?
Answer: ReNi2Pt


Question: What is the final energy in the seventh record?
Answer: -8.2178 eV/atom


Question: The highest final energy belongs to which entry?
Answer: Mg5Cu